A relaxed Rb2AgAuF6 crystal. Source: Alexandria via LeMat-Bulk, functional PBE.

Computed properties:
Energy relative to the elements, uncorrected = -18.027 eV per formula unit
SG = No. 139

Cell: 6.5849 6.5849 6.5849 Å, 123.24 123.24 84.48°
Sites, in units of the cell vectors:
Rb  0.2500  0.7500  0.5000
Rb  0.7500  0.2500  0.5000
Ag  0.0000  0.0000  0.0000
Au  0.5000  0.5000  0.0000
F  0.2198  0.2198  0.0000
F  0.2699  0.2699  0.5398
F  0.2699  0.7301  0.0000
F  0.7301  0.2699  0.0000
F  0.7301  0.7301  0.4602
F  0.7802  0.7802  0.0000